A plane-wave DFT calculation with PBEsol was carried out for a relaxed Cr2RuW crystal.

Computed properties:
Energy of formation from the pure elements, eV/atom: 0.19
Energy above the lowest structure with this stoichiometry, meV per atom: 0

Cell lengths 2.983, 4.187, 4.233 Å; angles 90.00, 90.00, 90.00 degrees
Space group Pmmm (No. 47)
Symmetry-distinct sites (fractional):
Cr (0.000, 0.000, 0.000) [1 per cell]
Cr (0.500, 0.000, 0.500) [1 per cell]
Ru (0.000, 0.500, 0.500) [1 per cell]
W (0.500, 0.500, 0.000) [1 per cell]

---

A plane-wave DFT calculation with PBEsol was carried out for a relaxed CuPt3 crystal.

Computed properties:
Energy of formation from the pure elements, eV/atom: -0.11

Cell lengths 5.403, 7.717, 2.725 Å; angles 90.00, 90.00, 90.00 degrees
Space group Cmmm (No. 65)
Symmetry-distinct sites (fractional):
Cu (0.000, 0.000, 0.000) [2 per cell]
Pt (0.000, 0.500, 0.000) [2 per cell]
Pt (0.250, 0.250, 0.500) [4 per cell]

---

A plane-wave DFT calculation with PBEsol was carried out for a relaxed BaAlMo crystal.

Computed properties:
Energy of formation from the pure elements, eV/atom: 0.84

Cell lengths 3.0789, 3.0789, 8.0792 Å; angles 90.00, 90.00, 120.00 degrees
Space group P3m1 (No. 156)
Symmetry-distinct sites (fractional):
Ba (0.0000, 0.0000, 0.0000) [1 per cell]
Al (0.3333, 0.6667, 0.3799) [1 per cell]
Mo (0.6667, 0.3333, 0.6345) [1 per cell]

---

A plane-wave DFT calculation with PBEsol was carried out for a relaxed Ca2LaOs crystal.

Computed properties:
Energy of formation from the pure elements, eV/atom: 0.51
Energy above the lowest structure with this stoichiometry, meV per atom: 119

Cell lengths 7.263, 7.263, 7.263 Å; angles 90.00, 90.00, 90.00 degrees
Space group Fm-3m (No. 225)
Symmetry-distinct sites (fractional):
Ca (0.250, 0.250, 0.250) [8 per cell]
La (0.000, 0.000, 0.000) [4 per cell]
Os (0.000, 0.000, 0.500) [4 per cell]

---

A plane-wave DFT calculation with PBEsol was carried out for a relaxed Sc2RhBr crystal.

Computed properties:
Raw formation energy, eV per formula unit: -0.97

Cell lengths 3.1701, 3.1701, 27.2178 Å; angles 90.00, 90.00, 120.00 degrees
Space group R-3m (No. 166, hexagonal axes)
Symmetry-distinct sites (fractional):
Sc (0.0000, 0.0000, 0.0860) [6 per cell]
Rh (0.0000, 0.0000, 0.0000) [3 per cell]
Br (0.0000, 0.0000, 0.5000) [3 per cell]

---

A plane-wave DFT calculation with PBEsol was carried out for a relaxed Ca3ReOs crystal.

Computed properties:
Energy of formation from the pure elements, eV/atom: 1.82

Cell lengths 5.201, 5.201, 5.201 Å; angles 90.00, 90.00, 90.00 degrees
Space group Pm-3m (No. 221)
Symmetry-distinct sites (fractional):
Ca (0.000, 0.000, 0.500) [3 per cell]
Re (0.000, 0.000, 0.000) [1 per cell]
Os (0.500, 0.500, 0.500) [1 per cell]

---

A plane-wave DFT calculation with PBEsol was carried out for a relaxed Zr3FeRe crystal.

Computed properties:
Energy of formation from the pure elements, eV/atom: 1.04

Cell lengths 4.971, 4.971, 4.971 Å; angles 90.00, 90.00, 90.00 degrees
Space group Pm-3m (No. 221)
Symmetry-distinct sites (fractional):
Zr (0.000, 0.000, 0.500) [3 per cell]
Fe (0.500, 0.500, 0.500) [1 per cell]
Re (0.000, 0.000, 0.000) [1 per cell]

---

A plane-wave DFT calculation with PBEsol was carried out for a relaxed MgMnAs2O7 crystal.

Computed properties:
Raw formation energy, eV per formula unit: -17.14

Cell lengths 7.253, 8.685, 9.644 Å; angles 90.00, 117.82, 90.00 degrees
Space group P2_1/c (No. 14)
Symmetry-distinct sites (fractional):
Mg (0.244, 0.062, 0.122) [4 per cell]
Mn (0.258, 0.056, 0.626) [4 per cell]
As (0.020, 0.741, 0.713) [4 per cell]
As (0.488, 0.744, 0.045) [4 per cell]
O (0.006, 0.581, 0.607) [4 per cell]
O (0.034, 0.594, 0.123) [4 per cell]
O (0.160, 0.247, 0.719) [4 per cell]
O (0.242, 0.699, 0.888) [4 per cell]
O (0.354, 0.250, 0.042) [4 per cell]
O (0.467, 0.589, 0.627) [4 per cell]
O (0.496, 0.082, 0.350) [4 per cell]